# 1
{
  "formula": "Ho2ZnSi2Ru5",
  "functional": "PBE-GGA",
  "state": "relaxed",
  "vol_a3_per_atom": 16.00,
  "e_form_raw_ev_per_fu": -5.4,
  "density_g_cm3": 9.930,
  "final_energy_ev_per_atom": -7.3029,
  "lattice_angstrom": [[3.273, 0.000, 0.000], [0.000, 9.888, 0.000], [0.000, 0.000, 9.888]],
  "species": ["Ho", "Ho", "Ho", "Ho", "Zn", "Zn", "Si", "Si", "Si", "Si", "Ru", "Ru", "Ru", "Ru", "Ru", "Ru", "Ru", "Ru", "Ru", "Ru"],
  "frac_coords": [[0.000, 0.672, 0.172], [0.000, 0.328, 0.828], [0.000, 0.172, 0.328], [0.000, 0.828, 0.672], [0.000, 0.000, 0.000], [0.000, 0.500, 0.500], [0.000, 0.129, 0.629], [0.000, 0.871, 0.371], [0.000, 0.629, 0.871], [0.000, 0.371, 0.129], [0.500, 0.207, 0.069], [0.500, 0.793, 0.931], [0.500, 0.069, 0.793], [0.500, 0.707, 0.431], [0.500, 0.931, 0.207], [0.500, 0.293, 0.569], [0.500, 0.569, 0.707], [0.500, 0.431, 0.293], [0.500, 0.500, 0.000], [0.500, 0.000, 0.500]]
}



# 2
{
  "formula": "SmHo2Ru9",
  "functional": "PBE-GGA",
  "state": "relaxed",
  "vol_a3_per_atom": 17.50,
  "ef_ev_per_atom": -0.1289,
  "density_g_cm3": 10.988,
  "final_energy_ev_per_atom": -8.2420,
  "lattice_angstrom": [[5.063, 0.000, 1.507], [2.307, 4.507, 1.507], [0.015, 0.009, 9.210]],
  "species": ["Sm", "Ho", "Ho", "Ru", "Ru", "Ru", "Ru", "Ru", "Ru", "Ru", "Ru", "Ru"],
  "frac_coords": [[0.000, 0.000, 0.000], [0.860, 0.860, 0.419], [0.140, 0.140, 0.581], [0.662, 0.662, 0.015], [0.338, 0.338, 0.985], [0.500, 0.500, 0.500], [0.411, 0.411, 0.250], [0.927, 0.411, 0.250], [0.411, 0.927, 0.250], [0.589, 0.589, 0.750], [0.589, 0.073, 0.750], [0.073, 0.589, 0.750]]
}



# 3
{
  "formula": "Sm5HoRu3",
  "functional": "PBE-GGA",
  "state": "relaxed",
  "vol_a3_per_atom": 29.63,
  "ef_ev_per_atom": -0.1706,
  "density_g_cm3": 7.598,
  "final_energy_ev_per_atom": -6.3929,
  "lattice_angstrom": [[7.743, 0.073, 0.047], [2.190, 7.427, 0.047], [3.003, 2.268, 9.327]],
  "species": ["Sm", "Sm", "Sm", "Sm", "Sm", "Sm", "Sm", "Sm", "Sm", "Sm", "Ho", "Ho", "Ru", "Ru", "Ru", "Ru", "Ru", "Ru"],
  "frac_coords": [[0.972, 0.368, 0.338], [0.300, 0.700, 0.000], [0.767, 0.767, 0.036], [0.440, 0.440, 0.364], [0.560, 0.560, 0.636], [0.233, 0.233, 0.964], [0.368, 0.972, 0.338], [0.700, 0.300, 0.000], [0.028, 0.632, 0.662], [0.632, 0.028, 0.662], [0.095, 0.095, 0.703], [0.905, 0.905, 0.297], [0.665, 0.665, 0.834], [0.673, 0.673, 0.338], [0.000, 0.000, 0.000], [0.000, 0.000, 0.500], [0.335, 0.335, 0.166], [0.327, 0.327, 0.662]]
}